Below is crystalline NdUTeN2 at its relaxed geometry, with properties calculated at the PBE-GGA level. Values from VASP.

Calculated values
Formation energy from raw total energies: -1449.8 meV per atom
SG: I4mm (107)
Volume: 20.21 Å³/atom

```
&SYSTEM
  ibrav = 0, nat = 5, ntyp = 4
/
ATOMIC_SPECIES
Nd 144.24 Nd.upf
U 238.03 U.upf
Te 127.60 Te.upf
N 14.01 N.upf
CELL_PARAMETERS angstrom
3.9536 0.0000 0.0000
0.0000 3.9536 0.0000
-1.9768 -1.9768 6.4647
ATOMIC_POSITIONS crystal
Nd 0.8445 0.8445 0.6890
U 0.1677 0.1677 0.3353
Te 0.5084 0.5084 0.0168
N 0.7397 0.2397 0.4794
N 0.2397 0.7397 0.4794
```